The following is a PBE calculation of a relaxed Dy5ThSc4 crystal, from the Alexandria database.

As for the total DFT energy (no corrections): -52.13 eV/cell. The calculation puts the excess energy over the best structure of this formula in the dataset at 319.2 meV/atom. The symmetry is I4. The density of states at the Fermi level is 15.36 states/eV/cell.

a b c (Å): 7.5830 7.5830 7.5830
angles (deg): 99.67 99.67 131.61
Last column: nearest neighbours and their distance in Å.
Fractional coordinates of all 10 atoms:
Dy: 0.0000 0.0000 0.0000  1 Th 2.90, 4 Dy 3.22
Dy: 0.4989 0.5994 0.6074  4 Sc 3.04-3.40, 1 Dy 3.22, 1 Th 3.29
Dy: 0.5994 0.9920 0.1005  4 Sc 3.04-3.40, 1 Dy 3.22, 1 Th 3.29
Dy: 0.8915 0.4989 0.8995  4 Sc 3.04-3.40, 1 Dy 3.22, 1 Th 3.29
Dy: 0.9920 0.8915 0.3926  4 Sc 3.04-3.40, 1 Dy 3.22, 1 Th 3.29
Th: 0.4669 0.4669 0.0000  1 Dy 2.90
Sc: 0.1876 0.6022 0.2990  1 Sc 3.02, 2 Dy 3.04-3.07
Sc: 0.3032 0.8886 0.7010  1 Sc 3.02, 2 Dy 3.04-3.07
Sc: 0.6022 0.3032 0.4146  1 Sc 3.02, 2 Dy 3.04-3.07
Sc: 0.8886 0.1876 0.5854  1 Sc 3.02, 2 Dy 3.04-3.07